(1)
Density functional theory data (PBE-GGA) for crystalline CoPd at its relaxed geometry.

Results
D(E_F) in states/eV/f.u.: 2.727
Total moment in μB per cell: 15.00
Formation enthalpy at 0 K in meV/atom: 1256.7

a b c (Å): 6.7081 6.7081 6.7081
angles (deg): 90.00 90.00 90.00
Element x y z (fractional)
1 Pd 0.7500 0.0000 0.5000
2 Co 0.2500 0.5000 0.0000
3 Co 0.0000 0.2500 0.5000
4 Pd 0.0000 0.5000 0.7500
5 Co 0.5000 0.0000 0.7500
6 Pd 0.2500 0.0000 0.5000
7 Co 0.0000 0.7500 0.5000
8 Pd 0.5000 0.2500 0.0000
9 Pd 0.5000 0.7500 0.0000
10 Pd 0.0000 0.5000 0.2500
11 Co 0.7500 0.5000 0.0000
12 Co 0.5000 0.0000 0.2500

(2)
Density functional theory data (PBE-GGA) for crystalline CoPd2 at its relaxed geometry.

Results
D(E_F) in states/eV/f.u.: 4.984
Total moment in μB per cell: 2.86
Formation enthalpy at 0 K in meV/atom: 339.8

a b c (Å): 4.0917 4.0915 4.0921
angles (deg): 119.99 120.00 90.00
Element x y z (fractional)
1 Pd 0.7500 0.2500 0.5000
2 Pd 0.2500 0.7500 0.5000
3 Co 0.0000 0.0000 0.0000

(3)
Density functional theory data (PBE-GGA) for crystalline CoPd at its relaxed geometry.

Results
D(E_F) in states/eV/f.u.: 5.080
Total moment in μB per cell: 9.95
Formation enthalpy at 0 K in meV/atom: 705.8

a b c (Å): 4.9938 4.9938 4.9938
angles (deg): 90.00 90.00 90.00
Element x y z (fractional)
1 Co 0.0000 0.0000 0.0000
2 Co 0.5000 0.5000 0.0000
3 Pd 0.0000 0.0000 0.5000
4 Pd 0.5000 0.5000 0.5000
5 Co 0.0000 0.5000 0.5000
6 Pd 0.0000 0.5000 0.0000
7 Co 0.5000 0.0000 0.5000
8 Pd 0.5000 0.0000 0.0000

(4)
Density functional theory data (PBE-GGA) for crystalline CoPd at its relaxed geometry.

Results
D(E_F) in states/eV/f.u.: 4.183
Total moment in μB per cell: 4.98
Formation enthalpy at 0 K in meV/atom: 934.2

a b c (Å): 4.1938 4.1938 4.9222
angles (deg): 90.00 90.00 120.00
Element x y z (fractional)
1 Co 0.3333 0.6667 0.2500
2 Co 0.6667 0.3333 0.7500
3 Pd 0.6667 0.3333 0.2500
4 Pd 0.3333 0.6667 0.7500

(5)
Density functional theory data (PBE-GGA) for crystalline Co5Pd at its relaxed geometry.

Results
D(E_F) in states/eV/f.u.: 6.474
Total moment in μB per cell: 8.69
Formation enthalpy at 0 K in meV/atom: 57.7

a b c (Å): 2.5642 4.4079 6.7629
angles (deg): 76.88 79.07 73.09
Element x y z (fractional)
1 Co 0.3055 0.0001 0.3888
2 Co 0.9704 0.9877 0.0715
3 Co 0.9769 0.5034 0.5428
4 Co 0.6341 0.4967 0.2351
5 Co 0.6408 0.0122 0.7062
6 Pd 0.3056 0.5000 0.8889

(6)
Density functional theory data (PBE-GGA) for crystalline CoPd at its relaxed geometry.

Results
D(E_F) in states/eV/f.u.: 2.262
Total moment in μB per cell: 36.43
Formation enthalpy at 0 K in meV/atom: 390.5

a b c (Å): 6.6168 7.4848 9.3939
angles (deg): 90.00 90.00 90.00
Element x y z (fractional)
1 Co 0.3366 0.5000 0.0000
2 Co 0.6634 0.0000 0.5000
3 Pd 0.5000 0.1785 0.0000
4 Co 0.5866 0.2500 0.2500
5 Pd 0.5000 0.6785 0.5000
6 Co 0.3366 0.0000 0.5000
7 Co 0.8366 0.0000 0.0000
8 Co 0.6634 0.5000 0.0000
9 Co 0.0866 0.2500 0.7500
10 Pd 0.2500 0.0715 0.2500
11 Pd 0.5000 0.8215 0.0000
12 Pd 0.5000 0.3215 0.5000
13 Co 0.4134 0.7500 0.2500
14 Pd 0.7500 0.0715 0.7500
15 Co 0.1634 0.0000 0.0000
16 Co 0.9134 0.7500 0.7500
17 Co 0.5866 0.7500 0.7500
18 Co 0.4134 0.2500 0.7500
19 Co 0.0866 0.7500 0.2500
20 Co 0.9134 0.2500 0.2500
21 Pd 0.2500 0.9285 0.7500
22 Co 0.1634 0.5000 0.5000
23 Pd 0.2500 0.5715 0.7500
24 Pd 0.2500 0.4285 0.2500
25 Pd 0.0000 0.6785 0.0000
26 Co 0.8366 0.5000 0.5000
27 Pd 0.7500 0.4285 0.7500
28 Pd 0.7500 0.5715 0.2500
29 Pd 0.0000 0.1785 0.5000
30 Pd 0.0000 0.3215 0.0000
31 Pd 0.7500 0.9285 0.2500
32 Pd 0.0000 0.8215 0.5000